Entry 1:
RbTl2Ag | PBE-GGA | optimized geometry

Values from the calculation:
**E above lowest polymorph**: 0.180 eV per atom
**DOS(E_F)**: 2.6 states/eV per cell
**DFT formation energy**: 0.15 eV/atom
**Crystal system**: cubic
**SG**: Fm-3m
**E_tot**: -7.93 eV for the cell shown
**Magnetic moment**: 0.00 μB per formula unit

Cell: 5.600 5.600 5.600 Å, 60.00 60.00 60.00°
Fractional coordinates of all 4 atoms:
Ag 0.500 0.500 0.500
Tl 0.250 0.250 0.250
Tl 0.750 0.750 0.750
Rb 0.000 0.000 0.000

---

Entry 2:
Ti3In2Br10 | PBE-GGA | optimized geometry

Values from the calculation:
**ΔE_f (raw)**: -0.981 eV/atom
**DOS(E_F)**: 19.9 states/eV per cell
**Crystal system**: monoclinic
**SG**: C2/m
**E_tot**: -121.22 eV for the cell shown
**Magnetic moment**: 4.00 μB per formula unit

Cell: 7.528 10.388 12.990 Å, 110.57 106.84 90.00°
Site moments in Bohr magnetons follow the coordinates.
Fractional coordinates of all 30 atoms:
Br 0.102 0.537 0.722  -0.01
Br 0.127 0.752 0.255  -0.02
Br 0.000 0.000 0.500  -0.01
Br 0.643 0.955 0.779  -0.03
Br 0.750 0.500 0.000  -0.01
Br 0.898 0.463 0.278  -0.01
Br 0.016 0.198 0.032  -0.03
Br 0.484 0.823 0.967  -0.02
Br 0.620 0.537 0.722  -0.01
Br 0.500 0.000 0.500  -0.01
Br 0.984 0.802 0.968  -0.03
Br 0.380 0.463 0.278  -0.01
Br 0.864 0.045 0.221  -0.03
Br 0.136 0.955 0.779  -0.03
Br 0.766 0.713 0.531  -0.01
Br 0.873 0.248 0.745  -0.02
Br 0.516 0.177 0.033  -0.02
Br 0.250 0.500 0.000  -0.01
Br 0.357 0.045 0.221  -0.03
Br 0.234 0.287 0.469  -0.01
In 0.759 0.355 0.519  0.00
In 0.640 0.707 0.280  0.00
In 0.241 0.645 0.481  0.00
In 0.360 0.293 0.720  0.00
Ti 0.822 0.973 0.643  1.13
Ti 0.932 0.517 0.864  1.17
Ti 0.068 0.483 0.136  1.17
Ti 0.760 0.000 0.000  1.22
Ti 0.178 0.027 0.357  1.13
Ti 0.240 0.000 0.000  1.22

---

Entry 3:
InNiAu2 | PBE-GGA | optimized geometry

Values from the calculation:
**DOS(E_F)**: 1.8 states/eV per cell
**DFT formation energy**: -0.03 eV/atom
**Crystal system**: monoclinic
**SG**: Pm
**E_tot**: -15.18 eV for the cell shown
**Magnetic moment**: 0.00 μB per formula unit

Cell: 3.534 3.126 6.913 Å, 63.61 90.00 90.00°
Fractional coordinates of all 4 atoms:
Au 0.500 0.250 0.250
Au 0.000 0.023 0.978
In 0.000 0.474 0.525
Ni 0.500 0.753 0.747

---

Entry 4:
LaBe | PBE-GGA | optimized geometry

Values from the calculation:
**E above lowest polymorph**: 0.104 eV per atom
**DOS(E_F)**: 13.0 states/eV per cell
**DFT formation energy**: 0.14 eV/atom
**Crystal system**: orthorhombic
**SG**: P2_12_12_1
**E_tot**: -66.93 eV for the cell shown
**Magnetic moment**: 0.00 μB per formula unit

Cell: 5.783 5.524 11.177 Å, 90.00 90.00 90.00°
Fractional coordinates of all 16 atoms:
La 0.191 0.652 0.767
La 0.411 0.108 0.924
La 0.309 0.348 0.267
La 0.089 0.892 0.424
La 0.691 0.848 0.233
La 0.589 0.608 0.576
La 0.911 0.392 0.076
La 0.809 0.152 0.733
Be 0.576 0.121 0.473
Be 0.321 0.146 0.628
Be 0.821 0.354 0.372
Be 0.076 0.379 0.527
Be 0.924 0.879 0.973
Be 0.679 0.646 0.872
Be 0.179 0.854 0.128
Be 0.424 0.621 0.027

---

Entry 5:
CdTe2 | PBE-GGA | optimized geometry

Values from the calculation:
**ΔE_f (raw)**: 0.166 eV/atom
**DOS(E_F)**: 5.9 states/eV per cell
**Crystal system**: hexagonal
**SG**: P6_3/mmc
**E_tot**: -13.40 eV for the cell shown
**Magnetic moment**: 0.00 μB per formula unit

Cell: 5.544 5.544 6.218 Å, 90.00 90.00 120.00°
Fractional coordinates of all 6 atoms:
Cd 0.667 0.333 0.750
Cd 0.333 0.667 0.250
Te 0.333 0.667 0.750
Te 0.667 0.333 0.250
Te 0.000 0.000 0.000
Te 0.000 0.000 0.500

---

Entry 6:
YMg4Co | PBE-GGA | optimized geometry

Values from the calculation:
**E above lowest polymorph**: 0.000 eV per atom
**DOS(E_F)**: 10.5 states/eV per cell
**DFT formation energy**: 0.04 eV/atom
**Crystal system**: monoclinic
**SG**: C2/m
**E_tot**: -39.39 eV for the cell shown
**Magnetic moment**: 1.22 μB per formula unit

Cell: 5.333 6.915 8.408 Å, 114.28 108.53 90.00°
Site moments in Bohr magnetons follow the coordinates.
Fractional coordinates of all 12 atoms:
Mg 0.842 0.342 0.683  0.00
Mg 0.609 0.880 0.219  0.00
Mg 0.000 0.202 0.000  -0.01
Mg 0.000 0.798 0.000  -0.01
Mg 0.158 0.658 0.317  0.00
Mg 0.609 0.339 0.219  0.00
Mg 0.391 0.661 0.781  0.00
Mg 0.391 0.120 0.781  0.00
Y 0.208 0.208 0.417  0.09
Y 0.792 0.792 0.583  0.09
Co 0.714 0.500 0.000  1.06
Co 0.286 0.500 0.000  1.06

---

Entry 7:
CaTa4W | PBE-GGA | optimized geometry

Values from the calculation:
**DOS(E_F)**: 10.5 states/eV per cell
**DFT formation energy**: 0.63 eV/atom
**Crystal system**: cubic
**SG**: F-43m
**E_tot**: -58.60 eV for the cell shown
**Magnetic moment**: 0.00 μB per formula unit

Cell: 5.536 5.536 5.536 Å, 60.00 60.00 60.00°
Fractional coordinates of all 6 atoms:
Ta 0.874 0.375 0.375
Ta 0.375 0.375 0.375
Ta 0.375 0.874 0.375
Ta 0.375 0.375 0.874
Ca 0.000 0.000 0.000
W 0.750 0.750 0.750

---

Entry 8:
Pr2Er2Pt3 | PBE-GGA | optimized geometry

Values from the calculation:
**DOS(E_F)**: 10.5 states/eV per cell
**DFT formation energy**: -1.02 eV/atom
**Crystal system**: cubic
**SG**: I2_13
**E_tot**: -87.94 eV for the cell shown
**Magnetic moment**: 0.00 μB per formula unit

Cell: 7.683 7.683 7.683 Å, 109.47 109.47 109.47°
Fractional coordinates of all 14 atoms:
Pt 0.250 0.860 0.110
Pt 0.750 0.640 0.390
Pt 0.360 0.110 0.750
Pt 0.140 0.390 0.250
Pt 0.890 0.250 0.640
Pt 0.610 0.750 0.860
Pr 0.500 0.372 0.500
Pr 0.872 0.500 0.000
Pr 0.628 0.128 0.128
Pr 0.000 0.000 0.372
Er 0.500 0.877 0.500
Er 0.000 0.000 0.877
Er 0.377 0.500 0.000
Er 0.123 0.623 0.623